(1)
BaNiTeN2 after structural relaxation, computed with GGA-PBE.

Values from the calculation:
- density (g/cm³) = 4.0
- symmetry = P4/mmm
- crystal system = tetragonal

a = 4.5027 Å, b = 4.5027 Å, c = 7.2271 Å
α = 90.00°, β = 90.00°, γ = 90.00°
Positions (direct):
Ba1 0.0000 0.0000 0.0000
Ni1 0.5000 0.5000 0.5000
Te1 0.0000 0.0000 0.5000
N1 0.0000 0.5000 0.0000
N2 0.5000 0.0000 0.0000

---

(2)
BaNiTeN2 after structural relaxation, computed with GGA-PBE.

Values from the calculation:
- density (g/cm³) = 6.1
- symmetry = P4/mmm
- crystal system = tetragonal

a = 4.4025 Å, b = 4.4025 Å, c = 4.9067 Å
α = 90.00°, β = 90.00°, γ = 90.00°
Positions (direct):
Ba1 0.0000 0.0000 0.0000
Ni1 0.5000 0.5000 0.5000
Te1 0.5000 0.5000 0.0000
N1 0.0000 0.5000 0.5000
N2 0.5000 0.0000 0.5000

---

Least stable of them? (1).

---

(1)
Ba4NO after structural relaxation, computed with GGA-PBE.

Values from the calculation:
- density (g/cm³) = 3.9
- symmetry = Cmcm
- crystal system = orthorhombic

a = 7.2770 Å, b = 7.2770 Å, c = 9.2877 Å
α = 90.00°, β = 90.00°, γ = 95.72°
Positions (direct):
Ba1 0.1905 0.8095 0.5447
Ba2 0.1905 0.8095 0.9553
Ba3 0.2553 0.2989 0.7500
Ba4 0.2989 0.2553 0.2500
Ba5 0.7011 0.7447 0.7500
Ba6 0.7447 0.7011 0.2500
Ba7 0.8095 0.1905 0.0447
Ba8 0.8095 0.1905 0.4553
N1 0.0257 0.9743 0.7500
N2 0.9743 0.0257 0.2500
O1 0.3467 0.6533 0.7500
O2 0.6533 0.3467 0.2500

---

(2)
Ba4NO after structural relaxation, computed with GGA-PBE.

Values from the calculation:
- density (g/cm³) = 3.5
- symmetry = Imma
- crystal system = orthorhombic

a = 9.0848 Å, b = 9.0848 Å, c = 9.0848 Å
α = 122.60°, β = 102.77°, γ = 103.91°
Positions (direct):
Ba1 0.2251 0.2246 0.4995
Ba2 0.2251 0.7256 0.0005
Ba3 0.3306 0.2468 0.0838
Ba4 0.3369 0.7532 0.5838
Ba5 0.6631 0.2468 0.4162
Ba6 0.6694 0.7532 0.9162
Ba7 0.7749 0.2744 0.9995
Ba8 0.7749 0.7754 0.5005
N1 0.3464 0.0964 0.2500
N2 0.6536 0.9036 0.7500
O1 0.3493 0.5993 0.7500
O2 0.6507 0.4007 0.2500

---

Least stable of them? (1).